(1)
Crystalline NiAg2Cl at its relaxed geometry. Source: Alexandria, functional PBE.

a b c (Å): 5.028 5.028 5.028
angles (deg): 131.88 131.88 70.42
Each line ends with the local moment (μB).
Sites, in units of the cell vectors:
1 Ni 0.750 0.250 0.500  0.34
2 Ag 0.250 0.750 0.500  -0.01
3 Ag 0.000 0.000 0.000  -0.01
4 Cl 0.500 0.500 0.000  0.01

Output
M_tot (μB/cell): 0.3
Excess energy over the best structure of this formula in the dataset (kJ per mole of atoms): 36.4
DOS(E_F) (states/eV/cell): 6.4
Formation energy from raw total energies (meV/atom): 425

=====

(2)
Crystalline MgCo3Si at its relaxed geometry. Source: Alexandria, functional PBE.

a b c (Å): 4.267 4.267 4.267
angles (deg): 90.00 90.00 90.00
Each line ends with the local moment (μB).
Sites, in units of the cell vectors:
1 Co 0.000 0.000 0.500  1.36
2 Co 0.500 0.000 0.000  1.36
3 Si 0.500 0.500 0.500  0.01
4 Mg 0.000 0.000 0.000  -0.05
5 Co 0.000 0.500 0.000  1.47

Output
M_tot (μB/cell): 3.9
Excess energy over the best structure of this formula in the dataset (kJ per mole of atoms): 159.0
DOS(E_F) (states/eV/cell): 11.8
Formation energy from raw total energies (meV/atom): 1495

=====

(3)
Crystalline Pr3Ag4Pb4 at its relaxed geometry. Source: Alexandria, functional PBE.

a b c (Å): 4.807 7.554 9.177
angles (deg): 114.30 105.18 90.00
Sites, in units of the cell vectors:
1 Pr 0.129 0.129 0.259
2 Ag 0.330 0.136 0.659
3 Ag 0.670 0.476 0.341
4 Pr 0.871 0.871 0.741
5 Pr 0.000 0.500 0.000
6 Pb 0.784 0.284 0.568
7 Pb 0.500 0.799 0.000
8 Pb 0.216 0.716 0.432
9 Pb 0.500 0.201 0.000
10 Ag 0.670 0.864 0.341
11 Ag 0.330 0.524 0.659

Output
M_tot (μB/cell): 0.0
DOS(E_F) (states/eV/cell): 2.9
ΔE_f (meV/atom): -359.5

=====

(4)
Crystalline Sr2NbAg at its relaxed geometry. Source: Alexandria, functional PBE.

a b c (Å): 5.628 5.628 5.628
angles (deg): 60.00 60.00 60.00
Each line ends with the local moment (μB).
Sites, in units of the cell vectors:
1 Nb 0.000 0.000 0.000  2.72
2 Sr 0.750 0.750 0.750  0.09
3 Sr 0.250 0.250 0.250  0.09
4 Ag 0.500 0.500 0.500  0.01

Output
M_tot (μB/cell): 4.1
Excess energy over the best structure of this formula in the dataset (kJ per mole of atoms): 0.0
DOS(E_F) (states/eV/cell): 4.1
ΔE_f (meV/atom): 612.9

=====

(5)
Crystalline Sr2MgZn at its relaxed geometry. Source: Alexandria, functional PBE.

a b c (Å): 6.622 6.622 6.622
angles (deg): 136.21 136.21 63.66
Sites, in units of the cell vectors:
1 Sr 0.250 0.750 0.500
2 Sr 0.000 0.000 0.000
3 Zn 0.500 0.500 0.000
4 Mg 0.750 0.250 0.500

Output
M_tot (μB/cell): 0.0
Excess energy over the best structure of this formula in the dataset (kJ per mole of atoms): 16.2
DOS(E_F) (states/eV/cell): 3.4
ΔE_f (meV/atom): 49.5

=====

(6)
Crystalline LaAgPt2 at its relaxed geometry. Source: Alexandria, functional PBE.

a b c (Å): 7.467 4.385 4.144
angles (deg): 89.99 56.31 126.11
Sites, in units of the cell vectors:
1 Pt 0.000 0.000 0.000
2 Pt 0.500 0.000 0.500
3 Ag 0.000 0.500 0.500
4 La 0.500 0.500 0.000

Output
M_tot (μB/cell): 0.0
DOS(E_F) (states/eV/cell): 0.9
ΔE_f (meV/atom): -675.0